DFT (PBE) results for AsPtW2 after structural relaxation.

Cell lengths 2.7905, 4.1380, 5.5647 Å; angles 90.00, 90.00, 90.00 degrees
Closest atoms and distances in Å follow each position.
Sites, in units of the cell vectors:
As  0.0000  0.0000  0.4831  6 W 2.70-2.86, 2 As 2.79, 4 Pt 2.98
W  0.0000  0.0000  0.9684  2 As 2.70-2.86, 4 Pt 2.72, 6 W 2.79-3.02
W  0.5000  0.5000  0.2732  4 As 2.76, 2 Pt 2.77-2.79, 6 W 2.79-3.02
Pt  0.5000  0.5000  0.7753  6 W 2.72-2.79, 2 Pt 2.79, 4 As 2.98

Computed properties:
SG	No. 25
magnetic moment	0.000	μB per formula unit
density	16.48	Mg/m³
DFT total energy	-35.6	eV for the cell shown
crystal system	orthorhombic